Na3ZnRh2O6 after structural relaxation, computed with PBE.

Computed properties:
Formation energy (no corrections) in eV/atom: -1.214

Cell: 5.4314 5.4314 5.5884 Å, 99.36 99.36 119.94°
Closest atoms and distances in Å follow each position.
Atoms (fractional coordinates):
O: 0.5864 0.9326 0.7979  2 Rh 2.07, 1 Zn 2.16
O: 0.7226 0.7226 0.2036  2 Rh 2.08, 1 Zn 2.16
O: 0.2774 0.2774 0.7964  2 Rh 2.08, 1 Zn 2.16
O: 0.0674 0.4136 0.2021  2 Rh 2.07, 1 Zn 2.16
O: 0.4136 0.0674 0.2021  2 Rh 2.07, 1 Zn 2.16
O: 0.9326 0.5864 0.7979  2 Rh 2.07, 1 Zn 2.16
Rh: 0.6666 0.3334 0.0000  6 O 2.07-2.08
Rh: 0.3334 0.6666 0.0000  6 O 2.07-2.08
Na: 0.1644 0.8356 0.5000  6 O 2.36-2.43
Na: 0.5000 0.5000 0.5000  6 O 2.35-2.43
Na: 0.8356 0.1644 0.5000  6 O 2.36-2.43
Zn: 0.0000 0.0000 0.0000  6 O 2.16